{
  "formula": "Tc2SnPtRh",
  "functional": "PBE",
  "state": "optimized geometry",
  "lattice_angstrom": [[4.943, 0.000, 0.000], [0.000, 4.943, 0.000], [0.000, 0.000, 4.814]],
  "species": ["Tc", "Tc", "Sn", "Pt", "Rh"],
  "fractional_positions": [[0.000, 0.500, 0.000], [0.500, 0.000, 0.000], [0.000, 0.000, 0.000], [0.000, 0.000, 0.500], [0.500, 0.500, 0.500]],
  "e_above_lowest_polymorph_mev_per_atom": 548,
  "rho_kg_m3": 8649,
  "formation_energy_ev_per_atom": 2.01
}

{
  "formula": "Sn2TePtRh",
  "functional": "PBE",
  "state": "optimized geometry",
  "lattice_angstrom": [[5.073, 0.000, 0.000], [0.000, 5.073, 0.000], [0.000, 0.000, 5.192]],
  "species": ["Sn", "Sn", "Te", "Pt", "Rh"],
  "fractional_positions": [[0.000, 0.500, 0.000], [0.500, 0.000, 0.000], [0.000, 0.000, 0.500], [0.500, 0.500, 0.000], [0.500, 0.500, 0.500]],
  "rho_kg_m3": 8239,
  "raw_formation_energy_mev_per_atom": 381
}

{
  "formula": "TmSnPtRh",
  "functional": "PBE",
  "state": "optimized geometry",
  "lattice_angstrom": [[0.000, 3.339, 3.339], [3.339, 0.000, 3.339], [3.339, 3.339, 0.000]],
  "species": ["Tm", "Sn", "Pt", "Rh"],
  "fractional_positions": [[0.000, 0.000, 0.000], [0.500, 0.500, 0.500], [0.750, 0.750, 0.750], [0.250, 0.250, 0.250]],
  "rho_kg_m3": 13062,
  "formation_energy_ev_per_atom": -0.86
}